Entry 1:
Material: VMoW
Method: DFT, GGA-PBE
State: relaxed

Crystal system: monoclinic
Offset from the most stable computed form (eV/f.u.): 0.03
Total magnetization (μB/cell): 0.00
SG: Cm, No. 8
Energy of formation (kJ/mol of atoms): -10.58
D(E_F) (states/eV per cell): 6.7
Raw total energy (Ry per atom): -0.8142

Unit cell a=5.3793 b=4.4330 c=9.3232 alpha=90.00 beta=125.00 gamma=90.00
Last column: nearest neighbours and their distance in Å.
Atoms (fractional coordinates):
V 0.4046 0.5000 0.4222  4 Mo 2.68-2.71, 2 W 2.70, 2 V 2.72
V 0.0688 0.5000 0.7528  3 W 2.68-2.71, 3 Mo 2.68-2.71, 2 V 2.72
V 0.0688 0.0000 0.2528  3 W 2.68-2.71, 3 Mo 2.68-2.71, 2 V 2.72
V 0.4046 0.0000 0.9222  4 Mo 2.68-2.71, 2 W 2.70, 2 V 2.72
W 0.5687 0.5000 0.7553  3 V 2.68-2.70, 3 Mo 2.69-2.72, 2 W 2.71
W 0.2351 0.0000 0.5876  4 Mo 2.69-2.70, 2 V 2.70-2.71, 2 W 2.71
W 0.2351 0.5000 0.0876  4 Mo 2.69-2.70, 2 V 2.70-2.71, 2 W 2.71
W 0.5687 0.0000 0.2553  3 V 2.68-2.70, 3 Mo 2.69-2.72, 2 W 2.71
Mo 0.9055 0.0000 0.9218  3 V 2.68-2.70, 1 Mo 2.69, 4 W 2.70-2.72
Mo 0.7355 0.5000 0.0886  3 W 2.69, 1 Mo 2.69, 4 V 2.71
Mo 0.7355 0.0000 0.5886  3 W 2.69, 1 Mo 2.69, 4 V 2.71
Mo 0.9055 0.5000 0.4218  3 V 2.68-2.70, 1 Mo 2.69, 4 W 2.70-2.72


Entry 2:
Material: Rb2HfOs
Method: DFT, GGA-PBE
State: relaxed

Crystal system: tetragonal
Offset from the most stable computed form (eV/f.u.): 0.00
Total magnetization (μB/cell): 0.00
SG: I-42d, No. 122
Energy of formation (kJ/mol of atoms): 123.65
D(E_F) (states/eV per cell): 11.6
Raw total energy (Ry per atom): -0.3306

Unit cell a=12.8998 b=12.8998 c=9.4403 alpha=46.90 beta=46.90 gamma=90.00
Last column: nearest neighbours and their distance in Å.
Atoms (fractional coordinates):
Rb 0.3750 0.2139 0.7500  2 Os 3.48, 2 Hf 3.88
Rb 0.8750 0.0361 0.7500  2 Os 3.48, 2 Hf 3.88
Rb 0.7861 0.1250 0.2500  2 Os 3.48, 2 Hf 3.88
Rb 0.9639 0.6250 0.2500  2 Os 3.48, 2 Hf 3.88
Os 0.0000 0.0000 0.0000  2 Hf 2.43
Os 0.7500 0.2500 0.5000  2 Hf 2.43
Hf 0.2500 0.7500 0.5000  2 Os 2.43
Hf 0.5000 0.5000 0.0000  2 Os 2.43


Entry 3:
Material: CeDyOsRu
Method: DFT, GGA-PBE
State: relaxed

Crystal system: cubic
Total magnetization (μB/cell): 0.00
SG: F-43m, No. 216
Energy of formation (kJ/mol of atoms): -22.46
D(E_F) (states/eV per cell): 3.9
Raw total energy (Ry per atom): -0.5875

Unit cell a=4.8580 b=4.8580 c=4.8580 alpha=60.00 beta=60.00 gamma=60.00
Last column: nearest neighbours and their distance in Å.
Atoms (fractional coordinates):
Os 0.2500 0.2500 0.2500  4 Dy 2.97, 4 Ce 2.97
Ce 0.0000 0.0000 0.0000  4 Os 2.97, 4 Ru 2.97
Dy 0.5000 0.5000 0.5000  4 Ru 2.97, 4 Os 2.97
Ru 0.7500 0.7500 0.7500  4 Ce 2.97, 4 Dy 2.97


Entry 4:
Material: Ce5GaGe3
Method: DFT, GGA-PBE
State: relaxed

Crystal system: hexagonal
Total magnetization (μB/cell): 10.97
SG: P6_3/mcm, No. 193
Energy of formation (kJ/mol of atoms): -60.16
D(E_F) (states/eV per cell): 36.1
Raw total energy (Ry per atom): -0.4260

Unit cell a=6.2380 b=9.0302 c=9.0301 alpha=120.00 beta=90.00 gamma=90.00
Last column: nearest neighbours and their distance in Å.
Atoms (fractional coordinates):
Ge 0.2500 0.6320 0.6320  9 Ce 3.02-3.26
Ge 0.2500 0.3680 0.0000  9 Ce 3.02-3.26
Ge 0.7500 0.6320 0.0000  9 Ce 3.02-3.26
Ge 0.7500 0.0000 0.6320  9 Ce 3.02-3.26
Ge 0.2500 0.0000 0.3680  9 Ce 3.02-3.26
Ge 0.7500 0.3680 0.3680  9 Ce 3.02-3.26
Ga 0.0000 0.0000 0.0000  6 Ce 3.02, 2 Ga 3.12
Ga 0.5000 0.0000 0.0000  6 Ce 3.02, 2 Ga 3.12
Ce 0.0000 0.6667 0.3334  2 Ce 3.12, 6 Ge 3.26
Ce 0.7500 0.2865 0.0000  2 Ga 3.02, 5 Ge 3.02-3.20
Ce 0.7500 0.0000 0.2865  2 Ga 3.02, 5 Ge 3.02-3.20
Ce 0.2500 0.0000 0.7135  2 Ga 3.02, 5 Ge 3.02-3.20
Ce 0.0000 0.3333 0.6666  2 Ce 3.12, 6 Ge 3.26
Ce 0.2500 0.2865 0.2865  2 Ga 3.02, 5 Ge 3.02-3.20
Ce 0.7500 0.7135 0.7135  2 Ga 3.02, 5 Ge 3.02-3.20
Ce 0.5000 0.6667 0.3334  2 Ce 3.12, 6 Ge 3.26
Ce 0.5000 0.3333 0.6666  2 Ce 3.12, 6 Ge 3.26
Ce 0.2500 0.7135 0.0000  2 Ga 3.02, 5 Ge 3.02-3.20